#w
A relaxed TcS2O crystal. Source: Alexandria via LeMat-Bulk, functional PBE.

- V: 14.33 Å³/atom

Structure (CIF):
```
data_TcS2O
_cell_length_a 2.9795
_cell_length_b 2.9795
_cell_length_c 22.3717
_cell_angle_alpha 90.00
_cell_angle_beta 90.00
_cell_angle_gamma 120.00
_space_group_name_H-M_alt 'R -3 m'
_space_group_IT_number 166
_space_group_name_Hall '-R 3 2"'
loop_
_atom_site_label
_atom_site_type_symbol
_atom_site_fract_x
_atom_site_fract_y
_atom_site_fract_z
Tc1 Tc 0.0000 0.0000 0.0000
S1 S 0.0000 0.0000 0.0983
O1 O 0.0000 0.0000 0.5000
```

***

#x
A relaxed TcS2O crystal. Source: Alexandria via LeMat-Bulk, functional PBE.

- V: 16.20 Å³/atom

Structure (CIF):
```
data_TcS2O
_cell_length_a 3.5327
_cell_length_b 3.5327
_cell_length_c 17.9913
_cell_angle_alpha 90.00
_cell_angle_beta 90.00
_cell_angle_gamma 120.00
_space_group_name_H-M_alt 'R -3 m'
_space_group_IT_number 166
_space_group_name_Hall '-R 3 2"'
loop_
_atom_site_label
_atom_site_type_symbol
_atom_site_fract_x
_atom_site_fract_y
_atom_site_fract_z
Tc1 Tc 0.0000 0.0000 0.0000
S1 S 0.0000 0.0000 0.4034
O1 O 0.0000 0.0000 0.5000
```

***

Tell me which of them is the least stable. Sure, it is #w.

***

#w
A relaxed TcSO2 crystal. Source: Alexandria via LeMat-Bulk, functional PBE.

- V: 18.71 Å³/atom

Structure (CIF):
```
data_TcSO2
_cell_length_a 5.9555
_cell_length_b 5.9555
_cell_length_c 8.4426
_cell_angle_alpha 90.00
_cell_angle_beta 90.00
_cell_angle_gamma 90.00
_space_group_name_H-M_alt 'I 41/a m d'
_space_group_IT_number 141
loop_
_space_group_symop_operation_xyz
'x,y,z'
'-x,-y,-z'
'-y+1/4,x+3/4,z+1/4'
'y+1/4,-x+3/4,-z+1/4'
'-x+1/2,-y,z+1/2'
'x+1/2,y,-z+1/2'
'y+1/4,-x+1/4,z+3/4'
'-y+1/4,x+1/4,-z+3/4'
'x,-y,-z'
'-x,y,z'
'-y+1/4,-x+1/4,-z+3/4'
'y+1/4,x+1/4,z+3/4'
'-x+1/2,y,-z+1/2'
'x+1/2,-y,z+1/2'
'y+1/4,x+3/4,-z+1/4'
'-y+1/4,-x+3/4,z+1/4'
'x+1/2,y+1/2,z+1/2'
'-x+1/2,-y+1/2,-z+1/2'
'-y+3/4,x+1/4,z+3/4'
'y+3/4,-x+1/4,-z+3/4'
'-x,-y+1/2,z'
'x,y+1/2,-z'
'y+3/4,-x+3/4,z+1/4'
'-y+3/4,x+3/4,-z+1/4'
'x+1/2,-y+1/2,-z+1/2'
'-x+1/2,y+1/2,z+1/2'
'-y+3/4,-x+3/4,-z+1/4'
'y+3/4,x+3/4,z+1/4'
'-x,y+1/2,-z'
'x,-y+1/2,z'
'y+3/4,x+1/4,-z+3/4'
'-y+3/4,-x+1/4,z+3/4'
loop_
_atom_site_label
_atom_site_type_symbol
_atom_site_fract_x
_atom_site_fract_y
_atom_site_fract_z
Tc1 Tc 0.0000 0.2500 0.3750
S1 S 0.0000 0.2500 0.8750
O1 O 0.0000 0.0000 0.5000
```

***

#x
A relaxed TcSO2 crystal. Source: Alexandria via LeMat-Bulk, functional PBE.

- V: 11.52 Å³/atom

Structure (CIF):
```
data_TcSO2
_cell_length_a 2.8413
_cell_length_b 2.8413
_cell_length_c 19.7651
_cell_angle_alpha 90.00
_cell_angle_beta 90.00
_cell_angle_gamma 120.00
_space_group_name_H-M_alt 'R -3 m'
_space_group_IT_number 166
_space_group_name_Hall '-R 3 2"'
loop_
_atom_site_label
_atom_site_type_symbol
_atom_site_fract_x
_atom_site_fract_y
_atom_site_fract_z
Tc1 Tc 0.0000 0.0000 0.0000
S1 S 0.0000 0.0000 0.5000
O1 O 0.0000 0.0000 0.4004
```

***

Tell me which of them is the least stable. Sure, it is #w.

***

#w
A relaxed TcS2O8 crystal. Source: Alexandria via LeMat-Bulk, functional PBE.

- V: 15.64 Å³/atom

Structure (CIF):
```
data_TcS2O8
_cell_length_a 10.1569
_cell_length_b 7.3050
_cell_length_c 4.7016
_cell_angle_alpha 90.00
_cell_angle_beta 99.44
_cell_angle_gamma 90.00
_space_group_name_H-M_alt 'C 1 2/m 1'
_space_group_IT_number 12
_space_group_name_Hall '-C 2y'
loop_
_atom_site_label
_atom_site_type_symbol
_atom_site_fract_x
_atom_site_fract_y
_atom_site_fract_z
Tc1 Tc 0.0000 0.0000 0.0000
S1 S 0.1886 0.0000 0.6548
O1 O 0.1136 0.1601 0.7718
O2 O 0.1571 0.0000 0.3300
O3 O 0.1708 0.5000 0.2545
```

***

#x
A relaxed TcS2O8 crystal. Source: Alexandria via LeMat-Bulk, functional PBE.

- V: 16.62 Å³/atom

Structure (CIF):
```
data_TcS2O8
_cell_length_a 13.3475
_cell_length_b 7.3201
_cell_length_c 9.2323
_cell_angle_alpha 90.00
_cell_angle_beta 125.85
_cell_angle_gamma 90.00
_space_group_name_H-M_alt 'C 1 2/c 1'
_space_group_IT_number 15
_space_group_name_Hall '-C 2yc'
loop_
_atom_site_label
_atom_site_type_symbol
_atom_site_fract_x
_atom_site_fract_y
_atom_site_fract_z
Tc1 Tc 0.0000 0.0300 0.2500
S1 S 0.0889 0.2307 0.5470
O1 O 0.0409 0.2262 0.1344
O2 O 0.0761 0.1750 0.6922
O3 O 0.1482 0.0718 0.5105
O4 O 0.1518 0.4005 0.5879
```

***

Tell me which of them is the least stable. Sure, it is #w.

***

#w
A relaxed TeS2O crystal. Source: Alexandria via LeMat-Bulk, functional PBE.

- V: 21.68 Å³/atom

Structure (CIF):
```
data_TeS2O
_cell_length_a 3.7429
_cell_length_b 3.7429
_cell_length_c 21.4412
_cell_angle_alpha 90.00
_cell_angle_beta 90.00
_cell_angle_gamma 120.00
_space_group_name_H-M_alt 'R -3 m'
_space_group_IT_number 166
_space_group_name_Hall '-R 3 2"'
loop_
_atom_site_label
_atom_site_type_symbol
_atom_site_fract_x
_atom_site_fract_y
_atom_site_fract_z
Te1 Te 0.0000 0.0000 0.0000
S1 S 0.0000 0.0000 0.4191
O1 O 0.0000 0.0000 0.5000
```

***

#x
A relaxed TeS2O crystal. Source: Alexandria via LeMat-Bulk, functional PBE.

- V: 16.00 Å³/atom

Structure (CIF):
```
data_TeS2O
_cell_length_a 6.3500
_cell_length_b 6.3500
_cell_length_c 6.3500
_cell_angle_alpha 90.00
_cell_angle_beta 90.00
_cell_angle_gamma 90.00
_space_group_name_H-M_alt 'F m -3 m'
_space_group_IT_number 225
_space_group_name_Hall '-F 4 2 3'
loop_
_atom_site_label
_atom_site_type_symbol
_atom_site_fract_x
_atom_site_fract_y
_atom_site_fract_z
Te1 Te 0.0000 0.0000 0.0000
S1 S 0.2500 0.2500 0.2500
O1 O 0.0000 0.0000 0.5000
```

***

Tell me which of them is the least stable. Sure, it is #x.

***

#w
A relaxed TeSO2 crystal. Source: Alexandria via LeMat-Bulk, functional PBE.

- V: 24.40 Å³/atom

Structure (CIF):
```
data_TeSO2
_cell_length_a 6.4942
_cell_length_b 6.4942
_cell_length_c 9.2582
_cell_angle_alpha 90.00
_cell_angle_beta 90.00
_cell_angle_gamma 90.00
_space_group_name_H-M_alt 'I -4 2 d'
_space_group_IT_number 122
_space_group_name_Hall 'I -4 2bw'
loop_
_atom_site_label
_atom_site_type_symbol
_atom_site_fract_x
_atom_site_fract_y
_atom_site_fract_z
Te1 Te 0.0000 0.0000 0.0000
S1 S 0.0000 0.0000 0.5000
O1 O 0.0019 0.7500 0.1250
```

***

#x
A relaxed TeSO2 crystal. Source: Alexandria via LeMat-Bulk, functional PBE.

- V: 12.84 Å³/atom

Structure (CIF):
```
data_TeSO2
_cell_length_a 5.9003
_cell_length_b 5.9003
_cell_length_c 5.9003
_cell_angle_alpha 90.00
_cell_angle_beta 90.00
_cell_angle_gamma 90.00
_space_group_name_H-M_alt 'F m -3 m'
_space_group_IT_number 225
_space_group_name_Hall '-F 4 2 3'
loop_
_atom_site_label
_atom_site_type_symbol
_atom_site_fract_x
_atom_site_fract_y
_atom_site_fract_z
Te1 Te 0.0000 0.0000 0.0000
S1 S 0.0000 0.0000 0.5000
O1 O 0.2500 0.2500 0.2500
```

***

#y
A relaxed TeSO2 crystal. Source: Alexandria via LeMat-Bulk, functional PBE.

- V: 15.36 Å³/atom

Structure (CIF):
```
data_TeSO2
_cell_length_a 3.3652
_cell_length_b 3.3652
_cell_length_c 18.7913
_cell_angle_alpha 90.00
_cell_angle_beta 90.00
_cell_angle_gamma 120.00
_space_group_name_H-M_alt 'R -3 m'
_space_group_IT_number 166
_space_group_name_Hall '-R 3 2"'
loop_
_atom_site_label
_atom_site_type_symbol
_atom_site_fract_x
_atom_site_fract_y
_atom_site_fract_z
Te1 Te 0.0000 0.0000 0.0000
S1 S 0.0000 0.0000 0.5000
O1 O 0.0000 0.0000 0.1183
```

***

Tell me which of them is the least stable. Sure, it is #x.

***

#w
A relaxed Tm2S2O crystal. Source: Alexandria via LeMat-Bulk, functional PBE.

- V: 18.65 Å³/atom

Structure (CIF):
```
data_Tm2S2O
_cell_length_a 8.1845
_cell_length_b 6.8020
_cell_length_c 6.7909
_cell_angle_alpha 90.00
_cell_angle_beta 99.47
_cell_angle_gamma 90.00
_space_group_name_H-M_alt 'P 1 21/c 1'
_space_group_IT_number 14
_space_group_name_Hall '-P 2ybc'
loop_
_atom_site_label
_atom_site_type_symbol
_atom_site_fract_x
_atom_site_fract_y
_atom_site_fract_z
Tm1 Tm 0.0748 0.1460 0.3243
Tm2 Tm 0.3611 0.5534 0.2507
S1 S 0.1817 0.6311 0.5811
S2 S 0.4252 0.2228 0.4696
O1 O 0.1167 0.0870 0.6500
```

***

#x
A relaxed Tm2S2O crystal. Source: Alexandria via LeMat-Bulk, functional PBE.

- V: 21.71 Å³/atom

Structure (CIF):
```
data_Tm2S2O
_cell_length_a 12.0814
_cell_length_b 5.3994
_cell_length_c 7.6343
_cell_angle_alpha 90.00
_cell_angle_beta 119.34
_cell_angle_gamma 90.00
_space_group_name_H-M_alt 'C 1 2/m 1'
_space_group_IT_number 12
_space_group_name_Hall '-C 2y'
loop_
_atom_site_label
_atom_site_type_symbol
_atom_site_fract_x
_atom_site_fract_y
_atom_site_fract_z
Tm1 Tm 0.0293 0.0000 0.3129
Tm2 Tm 0.1891 0.5000 0.1143
S1 S 0.0361 0.5000 0.2681
S2 S 0.1734 0.0000 0.0912
O1 O 0.1280 0.0000 0.6322
```

***

Tell me which of them is the least stable. Sure, it is #x.

***

#w
A relaxed U2SO crystal. Source: Alexandria via LeMat-Bulk, functional PBE.

- V: 21.69 Å³/atom

Structure (CIF):
```
data_U2SO
_cell_length_a 3.6133
_cell_length_b 3.6133
_cell_length_c 23.0214
_cell_angle_alpha 90.00
_cell_angle_beta 90.00
_cell_angle_gamma 120.00
_space_group_name_H-M_alt 'R -3 m'
_space_group_IT_number 166
_space_group_name_Hall '-R 3 2"'
loop_
_atom_site_label
_atom_site_type_symbol
_atom_site_fract_x
_atom_site_fract_y
_atom_site_fract_z
U1 U 0.0000 0.0000 0.0902
S1 S 0.0000 0.0000 0.5000
O1 O 0.0000 0.0000 0.0000
```

***

#x
A relaxed U2SO crystal. Source: Alexandria via LeMat-Bulk, functional PBE.

- V: 16.92 Å³/atom

Structure (CIF):
```
data_U2SO
_cell_length_a 3.2489
_cell_length_b 3.2489
_cell_length_c 6.4123
_cell_angle_alpha 90.00
_cell_angle_beta 90.00
_cell_angle_gamma 90.00
_space_group_name_H-M_alt 'P 4/m m m'
_space_group_IT_number 123
_space_group_name_Hall '-P 4 2'
loop_
_atom_site_label
_atom_site_type_symbol
_atom_site_fract_x
_atom_site_fract_y
_atom_site_fract_z
U1 U 0.0000 0.0000 0.2302
S1 S 0.5000 0.5000 0.5000
O1 O 0.5000 0.5000 0.0000
```

***

Tell me which of them is the least stable. Sure, it is #x.